The following is a DFT calculation (PBE) of YGa7Ni5 after structural relaxation.

```
data_YGa7Ni5
_chemical_formula_sum 'Y1 Ga7 Ni5'
_cell_length_a 6.564
_cell_length_b 6.564
_cell_length_c 6.564
_cell_angle_alpha 134.35
_cell_angle_beta 97.32
_cell_angle_gamma 99.99
_space_group_name_H-M_alt 'P 1'
_space_group_IT_number 1
loop_
_space_group_symop_operation_xyz
'x,y,z'
loop_
_atom_site_label
_atom_site_type_symbol
_atom_site_fract_x
_atom_site_fract_y
_atom_site_fract_z
Y1 Y 0.000 0.000 0.000
Ga1 Ga 0.191 0.491 0.700
Ga2 Ga 0.237 0.737 0.500
Ga3 Ga 0.355 0.355 0.000
Ga4 Ga 0.363 0.020 0.343
Ga5 Ga 0.662 0.662 0.000
Ga6 Ga 0.677 0.020 0.657
Ga7 Ga 0.791 0.491 0.300
Ni1 Ni 0.012 0.505 0.013
Ni2 Ni 0.012 0.999 0.507
Ni3 Ni 0.492 0.505 0.493
Ni4 Ni 0.492 0.999 0.987
Ni5 Ni 0.771 0.271 0.500
```

Output
V: 14.3 Å³/atom
Space group: Imm2 (44)
Energy relative to the elements: -0.4598 eV per atom

***

The following is a DFT calculation (PBE) of CsCoNiH2 after structural relaxation.

```
data_CsCoNiH2
_chemical_formula_sum 'Cs1 Co1 Ni1 H2'
_cell_length_a 3.976
_cell_length_b 3.976
_cell_length_c 4.601
_cell_angle_alpha 90.00
_cell_angle_beta 90.00
_cell_angle_gamma 90.00
_space_group_name_H-M_alt 'P 1'
_space_group_IT_number 1
loop_
_space_group_symop_operation_xyz
'x,y,z'
loop_
_atom_site_label
_atom_site_type_symbol
_atom_site_fract_x
_atom_site_fract_y
_atom_site_fract_z
Cs1 Cs 0.000 0.000 0.000
Co1 Co 0.500 0.500 0.000
Ni1 Ni 0.500 0.500 0.500
H1 H 0.000 0.500 0.500
H2 H 0.500 0.000 0.500
```

Output
Calculated total energy: -3.244 eV per atom
V: 14.6 Å³/atom
Space group: P4/mmm (123)

***

The following is a DFT calculation (PBE) of Na2ThNpO6 after structural relaxation.

```
data_Na2ThNpO6
_chemical_formula_sum 'Na4 Th2 Np2 O12'
_cell_length_a 5.865
_cell_length_b 6.029
_cell_length_c 10.266
_cell_angle_alpha 90.00
_cell_angle_beta 124.71
_cell_angle_gamma 90.00
_space_group_name_H-M_alt 'P 1'
_space_group_IT_number 1
loop_
_space_group_symop_operation_xyz
'x,y,z'
loop_
_atom_site_label
_atom_site_type_symbol
_atom_site_fract_x
_atom_site_fract_y
_atom_site_fract_z
Na1 Na 0.247 0.033 0.252
Na2 Na 0.247 0.467 0.752
Na3 Na 0.753 0.533 0.248
Na4 Na 0.753 0.967 0.748
Th1 Th 0.500 0.000 0.000
Th2 Th 0.500 0.500 0.500
Np1 Np 0.000 0.000 0.500
Np2 Np 0.000 0.500 0.000
O1 O 0.123 0.212 0.944
O2 O 0.123 0.288 0.444
O3 O 0.241 0.684 0.950
O4 O 0.241 0.816 0.450
O5 O 0.337 0.040 0.736
O6 O 0.337 0.460 0.236
O7 O 0.663 0.540 0.764
O8 O 0.663 0.960 0.264
O9 O 0.759 0.184 0.550
O10 O 0.759 0.316 0.050
O11 O 0.877 0.712 0.556
O12 O 0.877 0.788 0.056
```

Output
V: 14.9 Å³/atom
Space group: P2_1/c (14)
Formation energy without anion corrections: -2806.7 meV/atom

***

The following is a DFT calculation (PBE) of La6NdSmTm2 after structural relaxation.

```
data_La6NdSmTm2
_chemical_formula_sum 'La12 Nd2 Sm2 Tm4'
_cell_length_a 9.002
_cell_length_b 9.002
_cell_length_c 9.924
_cell_angle_alpha 94.61
_cell_angle_beta 94.61
_cell_angle_gamma 117.22
_space_group_name_H-M_alt 'P 1'
_space_group_IT_number 1
loop_
_space_group_symop_operation_xyz
'x,y,z'
loop_
_atom_site_label
_atom_site_type_symbol
_atom_site_fract_x
_atom_site_fract_y
_atom_site_fract_z
La1 La 0.009 0.563 0.188
La2 La 0.104 0.756 0.554
La3 La 0.244 0.896 0.946
La4 La 0.298 0.509 0.378
La5 La 0.437 0.991 0.312
La6 La 0.491 0.702 0.122
La7 La 0.509 0.298 0.878
La8 La 0.563 0.009 0.688
La9 La 0.702 0.491 0.622
La10 La 0.756 0.104 0.054
La11 La 0.896 0.244 0.446
La12 La 0.991 0.437 0.812
Nd1 Nd 0.407 0.593 0.750
Nd2 Nd 0.593 0.407 0.250
Sm1 Sm 0.028 0.972 0.250
Sm2 Sm 0.972 0.028 0.750
Tm1 Tm 0.195 0.288 0.048
Tm2 Tm 0.288 0.195 0.548
Tm3 Tm 0.712 0.805 0.452
Tm4 Tm 0.805 0.712 0.952
```

Output
V: 35.3 Å³/atom
Space group: C2/c (15)
Energy relative to the elements: 0.0998 eV per atom

***

The following is a DFT calculation (PBE) of TmSc2Ru2 after structural relaxation.

```
data_TmSc2Ru2
_chemical_formula_sum 'Tm1 Sc2 Ru2'
_cell_length_a 9.578
_cell_length_b 9.578
_cell_length_c 3.249
_cell_angle_alpha 90.00
_cell_angle_beta 90.00
_cell_angle_gamma 160.18
_space_group_name_H-M_alt 'P 1'
_space_group_IT_number 1
loop_
_space_group_symop_operation_xyz
'x,y,z'
loop_
_atom_site_label
_atom_site_type_symbol
_atom_site_fract_x
_atom_site_fract_y
_atom_site_fract_z
Tm1 Tm 0.000 0.000 0.000
Sc1 Sc 0.170 0.830 0.000
Sc2 Sc 0.830 0.170 0.000
Ru1 Ru 0.404 0.596 0.500
Ru2 Ru 0.596 0.404 0.500
```

Output
V: 20.2 Å³/atom
Space group: Cmmm (65)
Energy relative to the elements: -0.4317 eV per atom
Relative energy among the computed polymorphs: 0 meV per atom

***

The following is a DFT calculation (PBE) of NaAgSn after structural relaxation.

```
data_NaAgSn
_chemical_formula_sum 'Na1 Ag1 Sn1'
_cell_length_a 5.945
_cell_length_b 5.945
_cell_length_c 5.945
_cell_angle_alpha 143.78
_cell_angle_beta 143.78
_cell_angle_gamma 52.16
_space_group_name_H-M_alt 'P 1'
_space_group_IT_number 1
loop_
_space_group_symop_operation_xyz
'x,y,z'
loop_
_atom_site_label
_atom_site_type_symbol
_atom_site_fract_x
_atom_site_fract_y
_atom_site_fract_z
Na1 Na 0.000 0.000 0.000
Ag1 Ag 0.314 0.314 0.000
Sn1 Sn 0.695 0.695 0.000
```

Output
V: 24.3 Å³/atom
Space group: I4mm (107)
Energy relative to the elements: -0.0766 eV per atom

***

The following is a DFT calculation (PBE) of CaTmReO6 after structural relaxation.

```
data_CaTmReO6
_chemical_formula_sum 'Ca2 Tm2 Re2 O12'
_cell_length_a 5.000
_cell_length_b 5.000
_cell_length_c 9.853
_cell_angle_alpha 90.00
_cell_angle_beta 90.00
_cell_angle_gamma 90.00
_space_group_name_H-M_alt 'P 1'
_space_group_IT_number 1
loop_
_space_group_symop_operation_xyz
'x,y,z'
loop_
_atom_site_label
_atom_site_type_symbol
_atom_site_fract_x
_atom_site_fract_y
_atom_site_fract_z
Ca1 Ca 0.000 0.000 0.000
Ca2 Ca 0.500 0.500 0.500
Tm1 Tm 0.000 0.000 0.664
Tm2 Tm 0.500 0.500 0.164
Re1 Re 0.000 0.000 0.331
Re2 Re 0.500 0.500 0.831
O1 O 0.178 0.178 0.477
O2 O 0.190 0.190 0.195
O3 O 0.232 0.232 0.823
O4 O 0.268 0.732 0.323
O5 O 0.310 0.690 0.695
O6 O 0.322 0.678 0.977
O7 O 0.678 0.322 0.977
O8 O 0.690 0.310 0.695
O9 O 0.732 0.268 0.323
O10 O 0.768 0.768 0.823
O11 O 0.810 0.810 0.195
O12 O 0.822 0.822 0.477
```

Output
V: 13.7 Å³/atom
Space group: P4_2nm (102)
Formation energy without anion corrections: -2504.9 meV/atom

***

The following is a DFT calculation (PBE) of NaSbPb after structural relaxation.

```
data_NaSbPb
_chemical_formula_sum 'Na1 Sb1 Pb1'
_cell_length_a 5.507
_cell_length_b 5.507
_cell_length_c 3.389
_cell_angle_alpha 90.00
_cell_angle_beta 90.00
_cell_angle_gamma 120.00
_space_group_name_H-M_alt 'P 1'
_space_group_IT_number 1
loop_
_space_group_symop_operation_xyz
'x,y,z'
loop_
_atom_site_label
_atom_site_type_symbol
_atom_site_fract_x
_atom_site_fract_y
_atom_site_fract_z
Na1 Na 0.000 0.000 0.000
Sb1 Sb 0.333 0.667 0.500
Pb1 Pb 0.667 0.333 0.500
```

Output
V: 29.7 Å³/atom
Space group: P-6m2 (187)
Formation energy without anion corrections: -148.6 meV/atom

***

The following is a DFT calculation (PBE) of CdRe2Ir after structural relaxation.

```
data_CdRe2Ir
_chemical_formula_sum 'Cd1 Re2 Ir1'
_cell_length_a 9.552
_cell_length_b 9.552
_cell_length_c 9.552
_cell_angle_alpha 16.82
_cell_angle_beta 16.82
_cell_angle_gamma 16.82
_space_group_name_H-M_alt 'P 1'
_space_group_IT_number 1
loop_
_space_group_symop_operation_xyz
'x,y,z'
loop_
_atom_site_label
_atom_site_type_symbol
_atom_site_fract_x
_atom_site_fract_y
_atom_site_fract_z
Cd1 Cd 0.000 0.000 0.000
Re1 Re 0.244 0.244 0.244
Re2 Re 0.756 0.756 0.756
Ir1 Ir 0.500 0.500 0.500
```

Output
V: 15.9 Å³/atom
Space group: R-3m (166)
Energy relative to the elements: 0.2590 eV per atom

***

The following is a DFT calculation (PBE) of Be3FeSi after structural relaxation.

```
data_Be3FeSi
_chemical_formula_sum 'Be12 Fe4 Si4'
_cell_length_a 5.805
_cell_length_b 5.805
_cell_length_c 6.159
_cell_angle_alpha 96.07
_cell_angle_beta 96.07
_cell_angle_gamma 81.80
_space_group_name_H-M_alt 'P 1'
_space_group_IT_number 1
loop_
_space_group_symop_operation_xyz
'x,y,z'
loop_
_atom_site_label
_atom_site_type_symbol
_atom_site_fract_x
_atom_site_fract_y
_atom_site_fract_z
Be1 Be 0.042 0.213 0.352
Be2 Be 0.121 0.364 0.062
Be3 Be 0.213 0.042 0.852
Be4 Be 0.295 0.439 0.402
Be5 Be 0.364 0.121 0.562
Be6 Be 0.439 0.295 0.902
Be7 Be 0.561 0.705 0.098
Be8 Be 0.636 0.879 0.438
Be9 Be 0.705 0.561 0.598
Be10 Be 0.787 0.958 0.148
Be11 Be 0.879 0.636 0.938
Be12 Be 0.958 0.787 0.648
Fe1 Fe 0.080 0.396 0.694
Fe2 Fe 0.396 0.080 0.194
Fe3 Fe 0.604 0.920 0.806
Fe4 Fe 0.920 0.604 0.306
Si1 Si 0.185 0.815 0.250
Si2 Si 0.348 0.652 0.750
Si3 Si 0.652 0.348 0.250
Si4 Si 0.815 0.185 0.750
```

Output
V: 10.2 Å³/atom
Space group: C2/c (15)
Formation energy without anion corrections: -85.6 meV/atom
Relative energy among the computed polymorphs: 0 meV per atom

***

The following is a DFT calculation (PBE) of K12Ca3H5 after structural relaxation.

```
data_K12Ca3H5
_chemical_formula_sum 'K48 Ca12 H20'
_cell_length_a 16.860
_cell_length_b 16.860
_cell_length_c 16.860
_cell_angle_alpha 109.47
_cell_angle_beta 109.47
_cell_angle_gamma 109.47
_space_group_name_H-M_alt 'P 1'
_space_group_IT_number 1
loop_
_space_group_symop_operation_xyz
'x,y,z'
loop_
_atom_site_label
_atom_site_type_symbol
_atom_site_fract_x
_atom_site_fract_y
_atom_site_fract_z
K1 K 0.010 0.692 0.106
K2 K 0.010 0.818 0.904
K3 K 0.086 0.682 0.692
K4 K 0.086 0.904 0.394
K5 K 0.096 0.606 0.914
K6 K 0.096 0.990 0.182
K7 K 0.106 0.010 0.692
K8 K 0.106 0.596 0.414
K9 K 0.182 0.096 0.990
K10 K 0.182 0.586 0.192
K11 K 0.192 0.182 0.586
K12 K 0.192 0.510 0.606
K13 K 0.308 0.894 0.990
K14 K 0.308 0.914 0.318
K15 K 0.318 0.308 0.914
K16 K 0.318 0.510 0.404
K17 K 0.394 0.086 0.904
K18 K 0.394 0.808 0.490
K19 K 0.404 0.318 0.510
K20 K 0.404 0.586 0.894
K21 K 0.414 0.106 0.596
K22 K 0.414 0.808 0.818
K23 K 0.490 0.394 0.808
K24 K 0.490 0.596 0.682
K25 K 0.510 0.404 0.318
K26 K 0.510 0.606 0.192
K27 K 0.586 0.192 0.182
K28 K 0.586 0.894 0.404
K29 K 0.596 0.414 0.106
K30 K 0.596 0.682 0.490
K31 K 0.606 0.192 0.510
K32 K 0.606 0.914 0.096
K33 K 0.682 0.490 0.596
K34 K 0.682 0.692 0.086
K35 K 0.692 0.086 0.682
K36 K 0.692 0.106 0.010
K37 K 0.808 0.490 0.394
K38 K 0.808 0.818 0.414
K39 K 0.818 0.414 0.808
K40 K 0.818 0.904 0.010
K41 K 0.894 0.404 0.586
K42 K 0.894 0.990 0.308
K43 K 0.904 0.010 0.818
K44 K 0.904 0.394 0.086
K45 K 0.914 0.096 0.606
K46 K 0.914 0.318 0.308
K47 K 0.990 0.182 0.096
K48 K 0.990 0.308 0.894
Ca1 Ca 0.125 0.250 0.375
Ca2 Ca 0.125 0.375 0.750
Ca3 Ca 0.250 0.375 0.125
Ca4 Ca 0.250 0.875 0.625
Ca5 Ca 0.375 0.125 0.250
Ca6 Ca 0.375 0.750 0.125
Ca7 Ca 0.625 0.250 0.875
Ca8 Ca 0.625 0.875 0.750
Ca9 Ca 0.750 0.125 0.375
Ca10 Ca 0.750 0.625 0.875
Ca11 Ca 0.875 0.625 0.250
Ca12 Ca 0.875 0.750 0.625
H1 H 0.000 0.000 0.000
H2 H 0.000 0.000 0.500
H3 H 0.000 0.500 0.000
H4 H 0.000 0.500 0.500
H5 H 0.125 0.750 0.875
H6 H 0.125 0.875 0.250
H7 H 0.250 0.125 0.875
H8 H 0.250 0.625 0.375
H9 H 0.375 0.250 0.625
H10 H 0.375 0.625 0.750
H11 H 0.500 0.000 0.000
H12 H 0.500 0.000 0.500
H13 H 0.500 0.500 0.000
H14 H 0.500 0.500 0.500
H15 H 0.625 0.375 0.250
H16 H 0.625 0.750 0.375
H17 H 0.750 0.375 0.625
H18 H 0.750 0.875 0.125
H19 H 0.875 0.125 0.750
H20 H 0.875 0.250 0.125
```

Output
Calculated total energy: -1.628 eV per atom
V: 46.1 Å³/atom
Space group: Ia-3d (230)

***

The following is a DFT calculation (PBE) of Ba2LaRu after structural relaxation.

```
data_Ba2LaRu
_chemical_formula_sum 'Ba2 La1 Ru1'
_cell_length_a 4.272
_cell_length_b 3.960
_cell_length_c 9.776
_cell_angle_alpha 90.00
_cell_angle_beta 102.61
_cell_angle_gamma 90.00
_space_group_name_H-M_alt 'P 1'
_space_group_IT_number 1
loop_
_space_group_symop_operation_xyz
'x,y,z'
loop_
_atom_site_label
_atom_site_type_symbol
_atom_site_fract_x
_atom_site_fract_y
_atom_site_fract_z
Ba1 Ba 0.000 0.000 0.000
Ba2 Ba 0.307 0.500 0.615
La1 La 0.659 0.000 0.321
Ru1 Ru 0.137 0.500 0.280
```

Output
V: 40.3 Å³/atom
Space group: Pm (6)
Energy relative to the elements: 0.0822 eV per atom
Relative energy among the computed polymorphs: 21 meV per atom